{"formula": "LiCoB2O5", "functional": "PBE with a Hubbard U", "state": "optimized geometry", "m_tot_mub_per_cell": 15.96, "crystal_system": "monoclinic", "vol_a3_per_fu": 110, "space_group": "C2/c (15)", "dft_energy_ev_per_atom": -6.98, "lattice_angstrom": [[5.2351, -5.1261, 0.0000], [5.2351, 5.1261, 0.0000], [-5.0787, 0.0000, 8.2145]], "species": ["Li", "Li", "Li", "Li", "Co", "Co", "Co", "Co", "B", "B", "B", "B", "B", "B", "B", "B", "O", "O", "O", "O", "O", "O", "O", "O", "O", "O", "O", "O", "O", "O", "O", "O", "O", "O", "O", "O"], "fractional_positions": [[0.1136, 0.8864, 0.7500], [0.3259, 0.6741, 0.2500], [0.6741, 0.3259, 0.7500], [0.8864, 0.1136, 0.2500], [0.1505, 0.4660, 0.8565], [0.4660, 0.1505, 0.3565], [0.5340, 0.8495, 0.6435], [0.8495, 0.5340, 0.1435], [0.0974, 0.7680, 0.4723], [0.2320, 0.9026, 0.0277], [0.2651, 0.2737, 0.0988], [0.2737, 0.2651, 0.5988], [0.7263, 0.7349, 0.4012], [0.7349, 0.7263, 0.9012], [0.7680, 0.0974, 0.9723], [0.9026, 0.2320, 0.5277], [0.0726, 0.2155, 0.4882], [0.0902, 0.6880, 0.3186], [0.1560, 0.7317, 0.8878], [0.2021, 0.4177, 0.0396], [0.2155, 0.0726, 0.9882], [0.2683, 0.8440, 0.6122], [0.3120, 0.9098, 0.1814], [0.3312, 0.3682, 0.7617], [0.3682, 0.3312, 0.2617], [0.4177, 0.2021, 0.5396], [0.5823, 0.7979, 0.4604], [0.6318, 0.6688, 0.7383], [0.6688, 0.6318, 0.2383], [0.6880, 0.0902, 0.8186], [0.7317, 0.1560, 0.3878], [0.7845, 0.9274, 0.0118], [0.7979, 0.5823, 0.9604], [0.8440, 0.2683, 0.1122], [0.9098, 0.3120, 0.6814], [0.9274, 0.7845, 0.5118]]}